1.
This record from OQMD describes NiAs4Os after structural relaxation. The functional is PBE.

CIF file:
```
data_NiAs4Os
_cell_length_a 5.346
_cell_length_b 3.107
_cell_length_c 6.126
_cell_angle_alpha 90.00
_cell_angle_beta 90.03
_cell_angle_gamma 90.00
_space_group_name_H-M_alt 'P 1'
_space_group_IT_number 1
loop_
_space_group_symop_operation_xyz
'x,y,z'
loop_
_atom_site_label
_atom_site_type_symbol
_atom_site_fract_x
_atom_site_fract_y
_atom_site_fract_z
Ni1 Ni 0.000 0.000 0.000
As1 As 0.171 0.000 0.361
As2 As 0.316 0.500 0.871
As3 As 0.684 0.500 0.129
As4 As 0.829 0.000 0.639
Os1 Os 0.500 0.500 0.500
```

Properties
- Space-group type: P2/m (10)
- Energy above the most stable polymorph in this dataset: 0.000 eV per atom
- Spin magnetization: 0.000 μB/cell
- Volume: 16.96 Å³ per atom


2.
This record from OQMD describes KGdIr after structural relaxation. The functional is PBE.

CIF file:
```
data_KGdIr
_cell_length_a 4.931
_cell_length_b 4.931
_cell_length_c 4.931
_cell_angle_alpha 60.00
_cell_angle_beta 60.00
_cell_angle_gamma 60.00
_space_group_name_H-M_alt 'P 1'
_space_group_IT_number 1
loop_
_space_group_symop_operation_xyz
'x,y,z'
loop_
_atom_site_label
_atom_site_type_symbol
_atom_site_fract_x
_atom_site_fract_y
_atom_site_fract_z
K1 K 0.000 0.000 0.000
Gd1 Gd 0.500 0.500 0.500
Ir1 Ir 0.750 0.750 0.750
```

Properties
- Space-group type: F-43m (216)
- Energy above the most stable polymorph in this dataset: 0.000 eV per atom
- Spin magnetization: 0.016 μB/cell
- Volume: 28.26 Å³ per atom


3.
This record from OQMD describes DyTm2Co2B2N3 after structural relaxation. The functional is PBE.

CIF file:
```
data_DyTm2Co2B2N3
_cell_length_a 10.204
_cell_length_b 10.204
_cell_length_c 10.204
_cell_angle_alpha 160.64
_cell_angle_beta 160.64
_cell_angle_gamma 27.51
_space_group_name_H-M_alt 'P 1'
_space_group_IT_number 1
loop_
_space_group_symop_operation_xyz
'x,y,z'
loop_
_atom_site_label
_atom_site_type_symbol
_atom_site_fract_x
_atom_site_fract_y
_atom_site_fract_z
Dy1 Dy 0.000 0.000 0.000
Tm1 Tm 0.376 0.376 0.000
Tm2 Tm 0.624 0.624 0.000
Co1 Co 0.250 0.750 0.500
Co2 Co 0.750 0.250 0.500
B1 B 0.193 0.193 0.000
B2 B 0.807 0.807 0.000
N1 N 0.117 0.117 0.000
N2 N 0.500 0.500 0.000
N3 N 0.883 0.883 0.000
```

Properties
- Space-group type: I4/mmm (139)
- Spin magnetization: 0.010 μB/cell
- Volume: 11.67 Å³ per atom
- Raw total energy: -7.860 eV per atom


Repeat the first record exactly.
This record from OQMD describes NiAs4Os after structural relaxation. The functional is PBE.

CIF file:
```
data_NiAs4Os
_cell_length_a 5.346
_cell_length_b 3.107
_cell_length_c 6.126
_cell_angle_alpha 90.00
_cell_angle_beta 90.03
_cell_angle_gamma 90.00
_space_group_name_H-M_alt 'P 1'
_space_group_IT_number 1
loop_
_space_group_symop_operation_xyz
'x,y,z'
loop_
_atom_site_label
_atom_site_type_symbol
_atom_site_fract_x
_atom_site_fract_y
_atom_site_fract_z
Ni1 Ni 0.000 0.000 0.000
As1 As 0.171 0.000 0.361
As2 As 0.316 0.500 0.871
As3 As 0.684 0.500 0.129
As4 As 0.829 0.000 0.639
Os1 Os 0.500 0.500 0.500
```

Properties
- Space-group type: P2/m (10)
- Energy above the most stable polymorph in this dataset: 0.000 eV per atom
- Spin magnetization: 0.000 μB/cell
- Volume: 16.96 Å³ per atom


Repeat the third record exactly.
This record from OQMD describes DyTm2Co2B2N3 after structural relaxation. The functional is PBE.

CIF file:
```
data_DyTm2Co2B2N3
_cell_length_a 10.204
_cell_length_b 10.204
_cell_length_c 10.204
_cell_angle_alpha 160.64
_cell_angle_beta 160.64
_cell_angle_gamma 27.51
_space_group_name_H-M_alt 'P 1'
_space_group_IT_number 1
loop_
_space_group_symop_operation_xyz
'x,y,z'
loop_
_atom_site_label
_atom_site_type_symbol
_atom_site_fract_x
_atom_site_fract_y
_atom_site_fract_z
Dy1 Dy 0.000 0.000 0.000
Tm1 Tm 0.376 0.376 0.000
Tm2 Tm 0.624 0.624 0.000
Co1 Co 0.250 0.750 0.500
Co2 Co 0.750 0.250 0.500
B1 B 0.193 0.193 0.000
B2 B 0.807 0.807 0.000
N1 N 0.117 0.117 0.000
N2 N 0.500 0.500 0.000
N3 N 0.883 0.883 0.000
```

Properties
- Space-group type: I4/mmm (139)
- Spin magnetization: 0.010 μB/cell
- Volume: 11.67 Å³ per atom
- Raw total energy: -7.860 eV per atom


Q: volume of number 2 (KGdIr)?
A: 28.26 Å³ per atom


Q: spin magnetization of number 2 (KGdIr)?
A: 0.016 μB/cell